Entry from Alexandria: a relaxed TeW2O crystal (PBE+U).

Cell: 4.5444 4.5444 4.5444 Å, 60.00 60.00 60.00°
Last column: nearest neighbours and their distance in Å.
Atoms (fractional coordinates):
Te 0.0000 0.0000 0.0000  8 W 2.78
W 0.2500 0.2500 0.2500  4 O 2.78, 4 Te 2.78
W 0.7500 0.7500 0.7500  4 O 2.78, 4 Te 2.78
O 0.5000 0.5000 0.5000  8 W 2.78

Values from the calculation:
Calculated volume in Å³ per cell: 66
Density in g/cm³: 12.794
Total energy in Ry/atom: -0.3326
Fermi-level density of states in states/eV/f.u.: 1.22
SG: Fm-3m
Magnetization in μB/f.u.: 3.98
Energy above the lowest structure with this stoichiometry in eV/atom: 0.821